1.
# Ac3UN4 | Alexandria | PBE-GGA | relaxed
data_Ac3UN4
_symmetry_space_group_name_H-M 'P 1'
_symmetry_Int_Tables_number 1
_symmetry_space_group_name_Hall 'P 1'
_cell_length_a 6.552
_cell_length_b 7.567
_cell_length_c 6.420
_cell_angle_alpha 90.00
_cell_angle_beta 108.69
_cell_angle_gamma 90.00
loop_
_atom_site_label
_atom_site_fract_x
_atom_site_fract_y
_atom_site_fract_z
Ac1 0.000 0.123 0.250
Ac2 0.000 0.369 0.750
Ac3 0.000 0.631 0.250
Ac4 0.000 0.877 0.750
Ac5 0.500 0.375 0.250
Ac6 0.500 0.625 0.750
U1 0.500 0.119 0.750
U2 0.500 0.881 0.250
N1 0.294 0.327 0.547
N2 0.294 0.673 0.047
N3 0.302 0.101 0.998
N4 0.302 0.899 0.498
N5 0.698 0.101 0.502
N6 0.698 0.899 0.002
N7 0.706 0.327 0.953
N8 0.706 0.673 0.453
# Formation energy (no corrections), eV/f.u.: -9.34
# Magnetic moment, Bohr magnetons per cell: 0.00
# SG: P2/c (13)
# DOS(E_F), states/eV per atom: 0.5433
# Distance to the lowest polymorph of the same formula, meV/atom: 0

=====

2.
# Ac6UN8 | Alexandria | PBE-GGA | relaxed
data_Ac6UN8
_symmetry_space_group_name_H-M 'P 1'
_symmetry_Int_Tables_number 1
_symmetry_space_group_name_Hall 'P 1'
_cell_length_a 7.650
_cell_length_b 7.650
_cell_length_c 7.650
_cell_angle_alpha 60.00
_cell_angle_beta 60.00
_cell_angle_gamma 60.00
loop_
_atom_site_label
_atom_site_fract_x
_atom_site_fract_y
_atom_site_fract_z
Ac1 0.000 0.000 0.500
Ac2 0.000 0.500 0.000
Ac3 0.000 0.500 0.500
Ac4 0.500 0.000 0.000
Ac5 0.500 0.000 0.500
Ac6 0.500 0.500 0.000
U1 0.000 0.000 0.000
N1 0.206 0.206 0.794
N2 0.206 0.794 0.206
N3 0.206 0.794 0.794
N4 0.250 0.250 0.250
N5 0.750 0.750 0.750
N6 0.794 0.206 0.206
N7 0.794 0.206 0.794
N8 0.794 0.794 0.206
# Formation energy (no corrections), eV/f.u.: -17.14
# Magnetic moment, Bohr magnetons per cell: 0.00
# SG: Fm-3m (225)

=====

3.
# AcUN2 | Alexandria | PBE-GGA | relaxed
data_AcUN2
_symmetry_space_group_name_H-M 'P 1'
_symmetry_Int_Tables_number 1
_symmetry_space_group_name_Hall 'P 1'
_cell_length_a 3.122
_cell_length_b 3.122
_cell_length_c 6.295
_cell_angle_alpha 90.00
_cell_angle_beta 90.00
_cell_angle_gamma 90.00
loop_
_atom_site_label
_atom_site_fract_x
_atom_site_fract_y
_atom_site_fract_z
Ac1 0.000 0.000 0.000
U1 0.000 0.000 0.500
N1 0.500 0.500 0.276
N2 0.500 0.500 0.724
# Formation energy (no corrections), eV/f.u.: -1.83
# Magnetic moment, Bohr magnetons per cell: 2.07
# SG: P4/mmm (123)
# DOS(E_F), states/eV per atom: 0.9861
# Distance to the lowest polymorph of the same formula, meV/atom: 755

=====

4.
# AcUN | Alexandria | PBE-GGA | relaxed
data_AcUN
_symmetry_space_group_name_H-M 'P 1'
_symmetry_Int_Tables_number 1
_symmetry_space_group_name_Hall 'P 1'
_cell_length_a 3.529
_cell_length_b 14.049
_cell_length_c 6.114
_cell_angle_alpha 90.00
_cell_angle_beta 90.00
_cell_angle_gamma 90.00
loop_
_atom_site_label
_atom_site_fract_x
_atom_site_fract_y
_atom_site_fract_z
Ac1 0.000 0.219 0.250
Ac2 0.000 0.781 0.750
Ac3 0.500 0.281 0.750
Ac4 0.500 0.719 0.250
U1 0.000 0.500 0.000
U2 0.000 0.500 0.500
U3 0.500 0.000 0.000
U4 0.500 0.000 0.500
N1 0.000 0.026 0.250
N2 0.000 0.974 0.750
N3 0.500 0.474 0.750
N4 0.500 0.526 0.250
# Formation energy (no corrections), eV/f.u.: -1.25
# Magnetic moment, Bohr magnetons per cell: 8.93
# SG: Cmcm (63)
# DOS(E_F), states/eV per atom: 1.4470
# Distance to the lowest polymorph of the same formula, meV/atom: 0

=====

5.
# AcUN2 | Alexandria | PBE-GGA | relaxed
data_AcUN2
_symmetry_space_group_name_H-M 'P 1'
_symmetry_Int_Tables_number 1
_symmetry_space_group_name_Hall 'P 1'
_cell_length_a 4.076
_cell_length_b 4.076
_cell_length_c 19.195
_cell_angle_alpha 90.00
_cell_angle_beta 90.00
_cell_angle_gamma 120.00
loop_
_atom_site_label
_atom_site_fract_x
_atom_site_fract_y
_atom_site_fract_z
Ac1 0.000 0.000 0.000
Ac2 0.333 0.667 0.667
Ac3 0.667 0.333 0.333
U1 0.000 0.000 0.500
U2 0.333 0.667 0.167
U3 0.667 0.333 0.833
N1 0.000 0.000 0.400
N2 0.000 0.000 0.600
N3 0.333 0.667 0.066
N4 0.333 0.667 0.267
N5 0.667 0.333 0.733
N6 0.667 0.333 0.934
# Formation energy (no corrections), eV/f.u.: -4.11
# Magnetic moment, Bohr magnetons per cell: 3.38
# SG: R-3m (166)
# DOS(E_F), states/eV per atom: 0.9022
# Distance to the lowest polymorph of the same formula, meV/atom: 185

=====

6.
# AcUN4 | Alexandria | PBE-GGA | relaxed
data_AcUN4
_symmetry_space_group_name_H-M 'P 1'
_symmetry_Int_Tables_number 1
_symmetry_space_group_name_Hall 'P 1'
_cell_length_a 6.955
_cell_length_b 6.955
_cell_length_c 6.955
_cell_angle_alpha 132.56
_cell_angle_beta 132.56
_cell_angle_gamma 69.34
loop_
_atom_site_label
_atom_site_fract_x
_atom_site_fract_y
_atom_site_fract_z
Ac1 0.375 0.625 0.750
Ac2 0.625 0.375 0.250
U1 0.125 0.875 0.250
U2 0.875 0.125 0.750
N1 0.000 0.200 0.200
N2 0.000 0.800 0.800
N3 0.200 0.000 0.700
N4 0.200 0.500 0.200
N5 0.500 0.200 0.700
N6 0.500 0.800 0.300
N7 0.800 0.000 0.300
N8 0.800 0.500 0.800
# Formation energy (no corrections), eV/f.u.: -2.93
# Magnetic moment, Bohr magnetons per cell: 0.00
# SG: I4_1/amd (141)
# DOS(E_F), states/eV per atom: 0.7087

=====

7.
# AcUN | Alexandria | PBE-GGA | relaxed
data_AcUN
_symmetry_space_group_name_H-M 'P 1'
_symmetry_Int_Tables_number 1
_symmetry_space_group_name_Hall 'P 1'
_cell_length_a 3.692
_cell_length_b 3.692
_cell_length_c 6.304
_cell_angle_alpha 90.00
_cell_angle_beta 90.00
_cell_angle_gamma 120.00
loop_
_atom_site_label
_atom_site_fract_x
_atom_site_fract_y
_atom_site_fract_z
Ac1 0.000 0.000 0.000
U1 0.667 0.333 0.535
N1 0.333 0.667 0.668
# Formation energy (no corrections), eV/f.u.: -1.18
# Magnetic moment, Bohr magnetons per cell: 2.93
# SG: P3m1 (156)
# DOS(E_F), states/eV per atom: 2.7195
# Distance to the lowest polymorph of the same formula, meV/atom: 22

=====

8.
# Ac2YUN5 | Alexandria | PBE-GGA | relaxed
data_Ac2YUN5
_symmetry_space_group_name_H-M 'P 1'
_symmetry_Int_Tables_number 1
_symmetry_space_group_name_Hall 'P 1'
_cell_length_a 4.170
_cell_length_b 4.170
_cell_length_c 9.212
_cell_angle_alpha 90.00
_cell_angle_beta 90.00
_cell_angle_gamma 90.00
loop_
_atom_site_label
_atom_site_fract_x
_atom_site_fract_y
_atom_site_fract_z
Ac1 0.000 0.000 0.229
Ac2 0.000 0.000 0.771
Y1 0.500 0.500 0.500
U1 0.500 0.500 0.000
N1 0.000 0.000 0.500
N2 0.000 0.500 0.000
N3 0.500 0.000 0.000
N4 0.500 0.500 0.250
N5 0.500 0.500 0.750
# Formation energy (no corrections), eV/f.u.: -11.26
# Magnetic moment, Bohr magnetons per cell: 0.00
# SG: P4/mmm (123)
# DOS(E_F), states/eV per atom: 0.0081

=====

9.
# Ac3Y2UN6 | Alexandria | PBE-GGA | relaxed
data_Ac3Y2UN6
_symmetry_space_group_name_H-M 'P 1'
_symmetry_Int_Tables_number 1
_symmetry_space_group_name_Hall 'P 1'
_cell_length_a 6.230
_cell_length_b 6.230
_cell_length_c 6.499
_cell_angle_alpha 99.20
_cell_angle_beta 99.20
_cell_angle_gamma 119.86
loop_
_atom_site_label
_atom_site_fract_x
_atom_site_fract_y
_atom_site_fract_z
Ac1 0.000 0.000 0.000
Ac2 0.331 0.669 0.000
Ac3 0.669 0.331 0.000
Y1 0.166 0.834 0.500
Y2 0.834 0.166 0.500
U1 0.500 0.500 0.500
N1 0.127 0.433 0.298
N2 0.261 0.261 0.709
N3 0.433 0.127 0.298
N4 0.567 0.873 0.702
N5 0.739 0.739 0.291
N6 0.873 0.567 0.702
# Formation energy (no corrections), eV/f.u.: -16.00
# Magnetic moment, Bohr magnetons per cell: 0.00
# SG: C2/m (12)
# DOS(E_F), states/eV per atom: 0.4435

=====

10.
# Ac2UZn2N6 | Alexandria | PBE-GGA | relaxed
data_Ac2UZn2N6
_symmetry_space_group_name_H-M 'P 1'
_symmetry_Int_Tables_number 1
_symmetry_space_group_name_Hall 'P 1'
_cell_length_a 6.588
_cell_length_b 6.588
_cell_length_c 6.588
_cell_angle_alpha 54.30
_cell_angle_beta 54.30
_cell_angle_gamma 54.30
loop_
_atom_site_label
_atom_site_fract_x
_atom_site_fract_y
_atom_site_fract_z
Ac1 0.213 0.213 0.213
Ac2 0.787 0.787 0.787
U1 0.000 0.000 0.000
Zn1 0.419 0.419 0.419
Zn2 0.581 0.581 0.581
N1 0.216 0.762 0.762
N2 0.238 0.238 0.784
N3 0.238 0.784 0.238
N4 0.762 0.216 0.762
N5 0.762 0.762 0.216
N6 0.784 0.238 0.238
# Formation energy (no corrections), eV/f.u.: -6.18
# Magnetic moment, Bohr magnetons per cell: 0.00
# SG: R-3m (166)
# DOS(E_F), states/eV per atom: 0.6799

=====

11.
# Ac2UZnN5 | Alexandria | PBE-GGA | relaxed
data_Ac2UZnN5
_symmetry_space_group_name_H-M 'P 1'
_symmetry_Int_Tables_number 1
_symmetry_space_group_name_Hall 'P 1'
_cell_length_a 7.423
_cell_length_b 7.423
_cell_length_c 11.017
_cell_angle_alpha 90.00
_cell_angle_beta 90.00
_cell_angle_gamma 151.95
loop_
_atom_site_label
_atom_site_fract_x
_atom_site_fract_y
_atom_site_fract_z
Ac1 0.105 0.895 0.500
Ac2 0.130 0.870 0.122
Ac3 0.870 0.130 0.622
Ac4 0.895 0.105 0.000
U1 0.204 0.796 0.828
U2 0.796 0.204 0.328
Zn1 0.459 0.541 0.264
Zn2 0.541 0.459 0.764
N1 0.060 0.940 0.853
N2 0.285 0.715 0.454
N3 0.307 0.693 0.200
N4 0.345 0.655 0.817
N5 0.495 0.505 0.595
N6 0.505 0.495 0.095
N7 0.655 0.345 0.317
N8 0.693 0.307 0.700
N9 0.715 0.285 0.954
N10 0.940 0.060 0.353
# Formation energy (no corrections), eV/f.u.: -7.98
# Magnetic moment, Bohr magnetons per cell: 0.00
# SG: Cmc2_1 (36)
# DOS(E_F), states/eV per atom: 0.5880

=====

12.
# AcV2N4 | Alexandria | PBE-GGA | relaxed
data_AcV2N4
_symmetry_space_group_name_H-M 'P 1'
_symmetry_Int_Tables_number 1
_symmetry_space_group_name_Hall 'P 1'
_cell_length_a 7.630
_cell_length_b 7.630
_cell_length_c 5.821
_cell_angle_alpha 107.34
_cell_angle_beta 107.34
_cell_angle_gamma 123.00
loop_
_atom_site_label
_atom_site_fract_x
_atom_site_fract_y
_atom_site_fract_z
Ac1 0.129 0.871 0.500
Ac2 0.871 0.129 0.000
V1 0.293 0.432 0.737
V2 0.418 0.860 0.157
V3 0.432 0.293 0.237
V4 0.860 0.418 0.657
N1 0.052 0.432 0.527
N2 0.086 0.599 0.052
N3 0.236 0.259 0.913
N4 0.259 0.236 0.413
N5 0.432 0.052 0.027
N6 0.574 0.768 0.040
N7 0.599 0.086 0.552
N8 0.768 0.574 0.540
# Formation energy (no corrections), eV/f.u.: -7.19
# Magnetic moment, Bohr magnetons per cell: 2.02
# SG: Cc (9)
# DOS(E_F), states/eV per atom: 0.3532